MnTc2NiF | PBE with a Hubbard U | relaxed

a b c (Å): 4.414 4.414 4.391
angles (deg): 90.00 90.00 90.00
Space group P4/mmm (No. 123)
Asymmetric unit:
1 Mn 0.000 0.000 0.000 [1 per cell]
2 Tc 0.000 0.500 0.000 [2 per cell]
3 Ni 0.000 0.000 0.500 [1 per cell]
4 F 0.500 0.500 0.500 [1 per cell]

As for the density: 6.377 g/cm3. The value obtained for the spin magnetization is 3.73 μB per formula unit. The value obtained for the excess energy over the best structure of this formula in the dataset is 376 meV per atom. For the uncorrected energy, the calculation gives -22.5 eV/cell.